[1]
TeINF2 | Alexandria via LeMat-Bulk | PBE | relaxed; theoretical density = 5.152 g cm⁻³; E above lowest polymorph = 51.5 kJ/mol of atoms; VASP energy = -0.212 Ry/atom; uncorrected formation energy = 45.1 kJ per mole of atoms; M_tot = 0.49 μB/atom
1.0
-0.1635 -3.6539 -3.3331
4.4223 -1.6012 1.5385
-1.8054 -2.3869 2.7052
N F Te I
1 2 1 1
Direct
0.0000 0.0000 0.5000
0.5000 0.0000 0.0000
0.0000 0.5000 0.0000
0.5000 0.5000 0.5000
0.0000 0.0000 0.0000

---

[2]
Pr6Tm2Sc | Alexandria via LeMat-Bulk | PBE | relaxed; theoretical density = 6.799 g cm⁻³; E above lowest polymorph = 5.2 kJ/mol of atoms; formation enthalpy at 0 K = 91 meV per atom; VASP energy = -0.352 Ry/atom; M_tot = 0.00 μB/atom
1.0
-2.8707 -5.1900 1.9424
2.4290 1.1721 9.7145
-7.6248 4.7932 4.5314
Pr Sc Tm
12 2 4
Direct
0.3511 0.9281 0.6479
0.5122 0.3091 0.5907
0.9878 0.4093 0.6909
0.0122 0.5907 0.3091
0.6489 0.0719 0.3521
0.4878 0.6909 0.4093
0.1489 0.3521 0.0719
0.8240 0.0243 0.7533
0.1760 0.9757 0.2467
0.3240 0.7533 0.0243
0.6760 0.2467 0.9757
0.8511 0.6479 0.9281
0.7500 0.8917 0.1083
0.2500 0.1083 0.8917
0.0769 0.2265 0.4341
0.4231 0.5659 0.7735
0.5769 0.4341 0.2265
0.9231 0.7735 0.5659

---

[3]
GaAgH3 | Alexandria via LeMat-Bulk | PBE | relaxed; theoretical density = 5.422 g cm⁻³; E above lowest polymorph = 0.0 kJ/mol of atoms; VASP energy = -0.203 Ry/atom; M_tot = 0.00 μB/atom
1.0
-2.4636 1.6290 2.4072
-2.4896 0.4459 -2.8496
-1.5000 -3.4154 0.7761
Ga H Ag
1 3 1
Direct
0.5000 0.5000 0.5000
0.0000 0.5000 0.0000
0.0000 0.0000 0.5000
0.5000 0.0000 0.0000
0.0000 0.0000 0.0000

---

[4]
FeCuS2 | Alexandria via LeMat-Bulk | PBE | relaxed; theoretical density = 4.526 g cm⁻³; VASP energy = -0.391 Ry/atom; uncorrected formation energy = -11.4 kJ per mole of atoms; M_tot = 0.00 μB/atom
1.0
3.6119 0.0000 0.0000
0.0000 3.6119 0.0000
0.0000 0.0000 5.1615
Cu S Fe
1 2 1
Direct
0.0000 0.0000 0.0000
0.5000 0.0000 0.7203
0.0000 0.5000 0.2797
0.0000 0.0000 0.5000

---

[5]
Be2FeRu | Alexandria via LeMat-Bulk | PBE | relaxed; theoretical density = 7.102 g cm⁻³; formation enthalpy at 0 K = -192 meV per atom; VASP energy = -0.477 Ry/atom; M_tot = 0.73 μB/atom
1.0
-1.1506 -3.0898 -0.2575
1.7420 -0.8329 2.2103
-2.1856 0.4921 3.8603
Ru Be Fe
1 2 1
Direct
0.5000 0.7747 0.8262
0.5000 0.0497 0.2752
0.0000 0.1993 0.9770
0.0000 0.4763 0.4216

---

[6]
LiCaBCl | Alexandria via LeMat-Bulk | PBE | relaxed; theoretical density = 2.056 g cm⁻³; E above lowest polymorph = 10.8 kJ/mol of atoms; VASP energy = -0.240 Ry/atom; uncorrected formation energy = -14.4 kJ per mole of atoms; M_tot = 0.00 μB/atom
1.0
-4.4631 1.3137 -0.6354
-0.8825 -1.6878 2.7092
1.6355 3.6877 2.8302
B Li Cl Ca
1 1 1 1
Direct
0.0000 0.5000 0.0000
0.0000 0.5000 0.5000
0.5000 0.5000 0.5000
0.5000 0.0000 0.0000

---

[7]
CaLaIn | Alexandria via LeMat-Bulk | PBE | relaxed; theoretical density = 4.872 g cm⁻³; E above lowest polymorph = 12.8 kJ/mol of atoms; formation enthalpy at 0 K = -312 meV per atom; VASP energy = -0.260 Ry/atom; M_tot = 0.00 μB/atom
1.0
-3.0804 -0.8701 -1.9902
7.4732 -2.6564 -6.8302
1.6979 -5.6172 -0.1747
In Ca La
2 2 2
Direct
0.9624 0.6206 0.5973
0.8252 0.3466 0.5110
0.1766 0.0488 0.7538
0.6112 0.9184 0.3546
0.3147 0.3273 0.0220
0.4727 0.6398 0.0863

---

[8]
Pr3CdRu | Alexandria via LeMat-Bulk | PBE | relaxed; theoretical density = 6.338 g cm⁻³; E above lowest polymorph = 16.9 kJ/mol of atoms; formation enthalpy at 0 K = -61 meV per atom; VASP energy = -0.365 Ry/atom; M_tot = 0.00 μB/atom
1.0
-5.0687 0.9478 1.9232
1.4857 -2.0068 4.9045
1.5459 5.0362 1.5924
Cd Ru Pr
1 1 3
Direct
0.5000 0.5000 0.5000
0.0000 0.0000 0.0000
0.0000 0.5000 0.0000
0.5000 0.0000 0.0000
0.0000 0.0000 0.5000

---

[9]
La2Ag2P | Alexandria via LeMat-Bulk | PBE | relaxed; theoretical density = 6.900 g cm⁻³; E above lowest polymorph = 16.5 kJ/mol of atoms; formation enthalpy at 0 K = -350 meV per atom; VASP energy = -0.334 Ry/atom; M_tot = 0.00 μB/atom
1.0
-7.5582 0.9525 0.2854
-0.5726 -2.3808 -7.2193
-0.4632 -4.0909 1.3859
Ag P La
4 2 4
Direct
0.6259 0.1259 0.0000
0.3741 0.8741 0.0000
0.8741 0.6259 0.0000
0.1259 0.3741 0.0000
0.0000 0.0000 0.0000
0.5000 0.5000 0.0000
0.6795 0.8205 0.5000
0.8205 0.3205 0.5000
0.1795 0.6795 0.5000
0.3205 0.1795 0.5000

---

[10]
ScRe2 | Alexandria via LeMat-Bulk | PBE | relaxed; theoretical density = 13.320 g cm⁻³; formation enthalpy at 0 K = -347 meV per atom; VASP energy = -0.791 Ry/atom; M_tot = 0.00 μB/atom
1.0
-0.8145 -3.9510 -3.4129
3.9581 -0.2956 3.4883
-5.2646 -3.7968 5.6519
Re Sc
8 4
Direct
0.8280 0.1719 0.2500
0.3439 0.1719 0.2500
0.0000 0.0000 0.5000
0.6561 0.8281 0.7500
0.0000 0.0000 0.0000
0.1719 0.3439 0.7500
0.1720 0.8281 0.7500
0.8281 0.6561 0.2500
0.6667 0.3333 0.9383
0.3333 0.6667 0.0617
0.3333 0.6667 0.4383
0.6667 0.3333 0.5617

---

[11]
CsSrDyF6 | Alexandria via LeMat-Bulk | PBE | relaxed; theoretical density = 4.290 g cm⁻³; VASP energy = -0.423 Ry/atom; uncorrected formation energy = -358.7 kJ per mole of atoms; M_tot = 0.02 μB/atom
1.0
8.2111 0.0000 0.0000
0.0000 8.2401 0.0000
-4.1055 -4.1201 5.6869
F Cs Sr Dy
12 2 2 2
Direct
0.8211 0.1499 0.2678
0.1789 0.8501 0.7322
0.8559 0.1059 0.7119
0.4344 0.1844 0.8688
0.1441 0.8941 0.2881
0.4467 0.1499 0.2678
0.8211 0.6180 0.2678
0.5656 0.8156 0.1312
0.1789 0.3820 0.7322
0.4467 0.6180 0.2678
0.5533 0.3820 0.7322
0.5533 0.8501 0.7322
0.1420 0.3920 0.2840
0.8580 0.6080 0.7160
0.5000 0.0000 0.5000
0.0000 0.0000 0.5000
0.5000 0.5000 0.0000
0.5000 0.0000 0.0000

---

[12]
Sr2GaReO6 | Alexandria via LeMat-Bulk | PBE | relaxed; theoretical density = 7.026 g cm⁻³; VASP energy = -0.517 Ry/atom; uncorrected formation energy = -210.0 kJ per mole of atoms; M_tot = 0.20 μB/atom
1.0
3.2323 -4.2915 1.6013
-0.4332 -2.0474 5.2009
-2.2692 -5.0568 0.8418
Sr O Ga Re
2 6 1 1
Direct
0.2500 0.2500 0.2500
0.7500 0.7500 0.7500
0.7503 0.2497 0.7503
0.7503 0.7503 0.2497
0.2497 0.7503 0.7503
0.2497 0.2497 0.7503
0.7503 0.2497 0.2497
0.2497 0.7503 0.2497
0.5000 0.5000 0.5000
0.0000 0.0000 0.0000

---

Please write out number 5 again, unchanged.
Be2FeRu | Alexandria via LeMat-Bulk | PBE | relaxed; theoretical density = 7.102 g cm⁻³; formation enthalpy at 0 K = -192 meV per atom; VASP energy = -0.477 Ry/atom; M_tot = 0.73 μB/atom
1.0
-1.1506 -3.0898 -0.2575
1.7420 -0.8329 2.2103
-2.1856 0.4921 3.8603
Ru Be Fe
1 2 1
Direct
0.5000 0.7747 0.8262
0.5000 0.0497 0.2752
0.0000 0.1993 0.9770
0.0000 0.4763 0.4216